[1]
CaAl2Hg after structural relaxation. Source: the Alexandria database, functional PBE.

Values from the calculation:
Its space-group type is Immm. The value obtained for the spin magnetization is 0.00 μB per cell. For the density of states at the Fermi level, the calculation gives 1.9 states/eV per cell. Its total energy is -0.1849 Ry per atom. The calculation puts the energy of formation at -0.07 eV/atom.

Cell lengths 5.851, 5.851, 5.851 Å; angles 139.86, 133.84, 62.80 degrees
Fractional coordinates of all 4 atoms:
Ca  0.000  0.000  0.000
Al  0.263  0.763  0.500
Al  0.737  0.237  0.500
Hg  0.500  0.500  0.000

=====

[2]
La5Pr12Th2 after structural relaxation. Source: the Alexandria database, functional PBE.

Values from the calculation:
The calculation puts the offset from the most stable computed form at 55 meV/atom. Its space-group type is C2/m. The value obtained for the spin magnetization is 0.00 μB per cell. For the density of states at the Fermi level, the calculation gives 27.1 states/eV per cell. Its total energy is -0.3603 Ry per atom. The calculation puts the energy of formation at 0.19 eV/atom.

Cell lengths 10.383, 10.383, 9.036 Å; angles 114.83, 114.83, 54.99 degrees
Fractional coordinates of all 19 atoms:
La  0.000  0.000  0.000
La  0.236  0.236  0.821
La  0.279  0.279  0.265
La  0.721  0.721  0.735
La  0.764  0.764  0.179
Pr  0.027  0.674  0.573
Pr  0.047  0.047  0.690
Pr  0.184  0.594  0.058
Pr  0.326  0.973  0.427
Pr  0.406  0.816  0.942
Pr  0.411  0.411  0.742
Pr  0.589  0.589  0.258
Pr  0.594  0.184  0.058
Pr  0.674  0.027  0.573
Pr  0.816  0.406  0.942
Pr  0.953  0.953  0.310
Pr  0.973  0.326  0.427
Th  0.339  0.661  0.500
Th  0.661  0.339  0.500